CdGaCo3 after structural relaxation, computed with PBE.

Properties
The total DFT energy (no corrections) is -4.216 eV/atom. The total moment comes out at 3.69 μB per formula unit. The calculation puts the formation energy at 0.8364 eV/atom. The value obtained for the energy relative to the lowest polymorph listed for this composition is 0.000 eV per atom.

Cell: 4.365 4.365 4.365 Å, 90.00 90.00 90.00°
Space group Pm-3m (No. 221)
Symmetry-distinct sites (fractional):
Cd  0.000  0.000  0.000
Ga  0.500  0.500  0.500
Co  0.000  0.500  0.500


CdGaCo2 after structural relaxation, computed with PBE.

Properties
The total DFT energy (no corrections) is -4.094 eV/atom. The total moment comes out at 2.47 μB per formula unit. The calculation puts the formation energy at 0.4445 eV/atom.

Cell: 3.906 3.906 17.416 Å, 90.00 90.00 90.00°
Space group I-42d (No. 122)
Symmetry-distinct sites (fractional):
Cd  0.000  0.000  0.000
Ga  0.000  0.000  0.500
Co  0.146  0.250  0.625


CdGa3Co after structural relaxation, computed with PBE.

Properties
The total DFT energy (no corrections) is -3.469 eV/atom. The total moment comes out at 0.00 μB per formula unit. The calculation puts the formation energy at -0.0489 eV/atom. The value obtained for the energy relative to the lowest polymorph listed for this composition is 0.000 eV per atom.

Cell: 4.624 4.624 4.624 Å, 90.00 90.00 90.00°
Space group Pm-3m (No. 221)
Symmetry-distinct sites (fractional):
Cd  0.000  0.000  0.000
Ga  0.000  0.500  0.500
Co  0.500  0.500  0.500


Cd2GaCo after structural relaxation, computed with PBE.

Properties
The total DFT energy (no corrections) is -2.662 eV/atom. The total moment comes out at 0.00 μB per formula unit. The calculation puts the formation energy at 0.3291 eV/atom.

Cell: 8.716 8.716 4.657 Å, 90.00 90.00 90.00°
Space group I-42d (No. 122)
Symmetry-distinct sites (fractional):
Cd  0.138  0.250  0.125
Ga  0.000  0.000  0.500
Co  0.000  0.000  0.000


Cd2GaCoH after structural relaxation, computed with PBE.

Properties
The total DFT energy (no corrections) is -2.829 eV/atom. The total moment comes out at 0.00 μB per formula unit.

Cell: 4.917 4.917 3.089 Å, 90.00 90.00 90.00°
Space group P4/mmm (No. 123)
Symmetry-distinct sites (fractional):
Cd  0.000  0.500  0.000
Ga  0.000  0.000  0.500
Co  0.500  0.500  0.500
H  0.500  0.500  0.000


CdGa2CoHg after structural relaxation, computed with PBE.

Properties
The total DFT energy (no corrections) is -2.852 eV/atom. The total moment comes out at 0.00 μB per formula unit. The calculation puts the formation energy at 0.0229 eV/atom.

Cell: 4.573 4.573 5.141 Å, 90.00 90.00 90.00°
Space group P4/mmm (No. 123)
Symmetry-distinct sites (fractional):
Cd  0.000  0.000  0.000
Ga  0.000  0.500  0.500
Co  0.000  0.000  0.500
Hg  0.500  0.500  0.000


KCdGa2Co after structural relaxation, computed with PBE.

Properties
The total DFT energy (no corrections) is -3.155 eV/atom. The total moment comes out at 0.00 μB per formula unit. The calculation puts the formation energy at -0.1207 eV/atom.

Cell: 4.663 4.663 5.129 Å, 90.00 90.00 90.00°
Space group P4/mmm (No. 123)
Symmetry-distinct sites (fractional):
K  0.000  0.000  0.000
Cd  0.500  0.500  0.000
Ga  0.000  0.500  0.500
Co  0.500  0.500  0.500


LaCdGa2Co after structural relaxation, computed with PBE.

Properties
The total DFT energy (no corrections) is -4.110 eV/atom. The total moment comes out at 0.00 μB per formula unit. The calculation puts the formation energy at -0.3100 eV/atom. The value obtained for the energy relative to the lowest polymorph listed for this composition is 0.027 eV per atom.

Cell: 4.750 4.750 4.990 Å, 90.00 90.00 90.00°
Space group P4/mmm (No. 123)
Symmetry-distinct sites (fractional):
La  0.000  0.000  0.000
Cd  0.500  0.500  0.000
Ga  0.000  0.500  0.500
Co  0.000  0.000  0.500